No. 1
An optimized crystal structure of Cs3RbAs. Source: Alexandria, functional PBE.

Values from the calculation:
* DFT formation energy: 57.5 kJ per mole of atoms
* raw total energy: -1.04 eV per atom

Lattice parameters (Å, degrees): 7.9730 7.9730 7.9730 90.00 90.00 90.00
Closest atoms and distances in Å follow each position.
Space group Pm-3m (No. 221)
Unique sites:
1 Cs 0.0000 0.0000 0.5000  2 Rb 3.99
2 Rb 0.0000 0.0000 0.0000  6 Cs 3.99
3 As 0.5000 0.5000 0.5000  12 Cs 5.64


No. 2
An optimized crystal structure of Li2CuPt. Source: Alexandria, functional PBE.

Values from the calculation:
* DFT formation energy: -35.9 kJ per mole of atoms
* raw total energy: -3.86 eV per atom

Lattice parameters (Å, degrees): 3.7400 3.7400 7.5419 90.00 90.00 90.00
Closest atoms and distances in Å follow each position.
Space group I4/mmm (No. 139)
Unique sites:
1 Li 0.0000 0.5000 0.2500  4 Li 2.64, 4 Cu 2.66, 4 Pt 2.66
2 Cu 0.0000 0.0000 0.0000  4 Pt 2.64, 8 Li 2.66
3 Pt 0.0000 0.0000 0.5000  4 Cu 2.64, 8 Li 2.66


No. 3
An optimized crystal structure of Th3AsP2Rh8. Source: Alexandria, functional PBE.

Values from the calculation:
* DFT formation energy: -79.3 kJ per mole of atoms
* raw total energy: -7.72 eV per atom

Lattice parameters (Å, degrees): 5.4811 5.4811 9.5523 90.00 90.00 120.00
Closest atoms and distances in Å follow each position.
Space group P-3m1 (No. 164)
Unique sites:
1 Th 0.0000 0.0000 0.0000  12 Rh 3.09-3.41, 6 P 3.31
2 Th 0.3333 0.6667 0.5788  7 Rh 2.75-3.06
3 As 0.0000 0.0000 0.5000  6 Rh 2.65
4 P 0.3333 0.6667 0.1032  4 Rh 2.26-2.30
5 Rh 0.1664 0.3329 0.2778  1 P 2.30
6 Rh 0.3333 0.6667 0.8668  1 P 2.26


No. 4
An optimized crystal structure of Hf5ZrCo3. Source: Alexandria, functional PBE.

Values from the calculation:
* DFT formation energy: 4.2 kJ per mole of atoms
* raw total energy: -8.80 eV per atom

Lattice parameters (Å, degrees): 10.4440 8.2024 9.5206 90.00 115.95 90.00
Closest atoms and distances in Å follow each position.
Space group C2/m (No. 12)
Unique sites:
1 Hf 0.0000 0.1843 0.0000  3 Co 2.54-2.59
2 Hf 0.0290 0.0000 0.3416  1 Co 2.41
3 Hf 0.1971 0.2960 0.6239  3 Co 2.44-2.51
4 Hf 0.2492 0.0000 0.9102  2 Co 2.37-2.60
5 Zr 0.0151 0.5000 0.2580  3 Co 2.38-2.58
6 Co 0.0000 0.5000 0.0000  4 Hf 2.37-2.59, 2 Zr 2.39
7 Co 0.0000 0.5000 0.5000  2 Zr 2.38, 4 Hf 2.51
8 Co 0.2089 0.0000 0.1610  5 Hf 2.49-2.60
9 Co 0.2100 0.0000 0.6072  3 Hf 2.41-2.44, 1 Zr 2.58


No. 5
An optimized crystal structure of GaSiIN2. Source: Alexandria, functional PBE.

Values from the calculation:
* formation energy from raw total energies: 1504.8 meV per atom
* raw total energy: -3.83 eV per atom

Lattice parameters (Å, degrees): 3.9196 3.9196 5.9971 90.00 90.00 90.00
Closest atoms and distances in Å follow each position.
Space group P4/mmm (No. 123)
Unique sites:
1 Ga 0.0000 0.0000 0.0000  4 N 1.96
2 Si 0.5000 0.5000 0.5000  4 I 2.77
3 I 0.0000 0.0000 0.5000  4 Si 2.77, 2 Ga 3.00
4 N 0.0000 0.5000 0.0000  2 Ga 1.96


No. 6
An optimized crystal structure of LiHgSeO4. Source: Alexandria, functional PBE.

Values from the calculation:
* formation energy from raw total energies: -808.2 meV per atom
* raw total energy: -4.46 eV per atom

Lattice parameters (Å, degrees): 5.5388 6.5180 12.5031 90.00 90.00 90.00
Closest atoms and distances in Å follow each position.
Space group Imma (No. 74)
Unique sites:
1 Li 0.0000 0.0000 0.0000  4 O 2.13
2 Hg 0.2500 0.2500 0.2500  4 O 2.56, 2 Hg 2.77
3 Se 0.0000 0.2500 0.5881  4 O 1.69
4 O 0.0000 0.0384 0.6659  1 Se 1.69
5 O 0.2452 0.2500 0.9859  1 Se 1.69


No. 7
An optimized crystal structure of Tm2Ge3Ru. Source: Alexandria, functional PBE.

Values from the calculation:
* DFT formation energy: -60.8 kJ per mole of atoms
* raw total energy: -5.97 eV per atom

Lattice parameters (Å, degrees): 10.1722 4.4029 6.9096 90.00 130.77 90.00
Closest atoms and distances in Å follow each position.
Space group Cm (No. 8)
Unique sites:
1 Tm 0.0000 0.0000 0.0000  9 Ge 3.01-3.25, 3 Ru 3.21-3.23
2 Tm 0.1054 0.0000 0.6007  3 Ru 2.88-3.13, 8 Ge 2.99-3.21
3 Ge 0.1783 0.5000 0.9517  1 Ru 2.44, 2 Ge 2.70
4 Ge 0.2297 0.5000 0.4122  2 Ru 2.46
5 Ge 0.3755 0.0000 0.1968  1 Ru 2.57, 3 Ge 2.70-2.86
6 Ru 0.3726 0.0000 0.5662  4 Ge 2.44-2.57


No. 8
An optimized crystal structure of La2SmTl. Source: Alexandria, functional PBE.

Values from the calculation:
* DFT formation energy: -21.5 kJ per mole of atoms
* raw total energy: -4.46 eV per atom

Lattice parameters (Å, degrees): 4.9638 4.9638 5.1471 90.00 90.00 90.00
Closest atoms and distances in Å follow each position.
Space group P4/mmm (No. 123)
Unique sites:
1 La 0.0000 0.5000 0.0000  4 La 3.51, 4 Tl 3.58, 4 Sm 3.58
2 Sm 0.0000 0.0000 0.5000  4 Tl 3.51, 8 La 3.58
3 Tl 0.5000 0.5000 0.5000  4 Sm 3.51, 8 La 3.58


no.,ρ (kg/m³)
1,1832
2,8579
3,11066
4,10510
5,4555
6,5157
7,9307
8,8282